DFT (PBE) results for SrNbCrC2 after structural relaxation.

Calculated values
D(E_F) ... 5.34 states/eV per cell
Final energy ... -5.83 eV/atom
Total magnetization ... 0.001 μB per formula unit
Space group ... P4/mmm (123)

a b c (Å): 4.008 4.008 4.783
angles (deg): 90.00 90.00 90.00
Fractional coordinates of all 5 atoms:
Sr 0.000 0.000 0.000
Nb 0.500 0.500 0.000
Cr 0.000 0.000 0.500
C 0.000 0.500 0.500
C 0.500 0.000 0.500